[1]
Computed, not measured: crystalline Nd2Al5Ni3 at its relaxed geometry at the PBE level of DFT.

V: 350.74 Å³ per cell
Energy relative to the elements: -49.5 kJ per mole of atoms
Calculated total energy: -5.0720 eV/atom

Cell lengths 4.213, 6.645, 12.705 Å; angles 90.00, 99.54, 90.00 degrees
Sites, in units of the cell vectors:
Al  0.600  0.903  0.199
Al  0.057  0.601  0.114
Al  0.708  0.407  0.415
Al  0.130  0.240  0.260
Al  0.292  0.907  0.585
Al  0.870  0.740  0.740
Al  0.400  0.403  0.801
Al  0.713  0.014  0.426
Al  0.287  0.514  0.574
Al  0.943  0.101  0.886
Ni  0.610  0.519  0.219
Ni  0.948  0.481  0.896
Ni  0.052  0.981  0.104
Ni  0.390  0.019  0.781
Ni  0.228  0.210  0.455
Ni  0.772  0.710  0.545
Nd  0.175  0.721  0.350
Nd  0.478  0.769  0.956
Nd  0.825  0.221  0.650
Nd  0.522  0.269  0.044

=====

[2]
Computed, not measured: crystalline KTiRe2Os at its relaxed geometry at the PBE level of DFT.

V: 97.15 Å³ per cell
Energy relative to the elements: 239.2 kJ per mole of atoms
Calculated total energy: -6.5443 eV/atom

Cell lengths 4.597, 4.597, 4.597 Å; angles 90.00, 90.00, 90.00 degrees
Last column: magnetic moment on the atom in μB.
Sites, in units of the cell vectors:
Os  0.500  0.500  0.500  1.13
Re  0.000  0.000  0.500  0.13
Re  0.500  0.000  0.000  0.21
Ti  0.000  0.000  0.000  -0.02
K  0.000  0.500  0.000  0.00

=====

[3]
Computed, not measured: crystalline AlZnTc2 at its relaxed geometry at the PBE level of DFT.

V: 57.75 Å³ per cell
Energy relative to the elements: -2.0 kJ per mole of atoms
Calculated total energy: -6.4579 eV/atom
Relative energy among the computed polymorphs: 186 meV per atom

Cell lengths 3.141, 4.327, 4.248 Å; angles 90.00, 90.00, 90.00 degrees
Sites, in units of the cell vectors:
Al  0.000  0.500  0.500
Zn  0.500  0.000  0.500
Tc  0.000  0.000  0.000
Tc  0.500  0.500  0.000

=====

[4]
Computed, not measured: crystalline LiSi2Rh4 at its relaxed geometry at the PBE level of DFT.

V: 93.12 Å³ per cell
Calculated total energy: -6.7930 eV/atom
Formation energy without anion corrections: -74.2 kJ per mole of atoms

Cell lengths 4.030, 4.030, 5.735 Å; angles 90.00, 90.00, 90.00 degrees
Sites, in units of the cell vectors:
Rh  0.000  0.500  0.257
Rh  0.500  0.000  0.257
Rh  0.500  0.000  0.743
Rh  0.000  0.500  0.743
Si  0.500  0.500  0.500
Si  0.000  0.000  0.000
Li  0.500  0.500  0.000